(1)
# Sb2P

Sb2P after structural relaxation (PBE, Alexandria via LeMat-Bulk).

Output
DOS at the Fermi energy (states/eV per atom): 0.893
Raw total energy (eV/atom): -4.26
Uncorrected formation energy (eV/f.u.): 0.862

a = 6.770 Å, b = 6.770 Å, c = 6.770 Å
α = 90.00°, β = 90.00°, γ = 90.00°
Fractional coordinates of all 12 atoms:
Sb  0.377  0.123  0.123
P  0.000  0.000  0.000
Sb  0.623  0.623  0.377
Sb  0.877  0.123  0.377
Sb  0.377  0.377  0.623
Sb  0.623  0.877  0.877
Sb  0.877  0.377  0.877
P  0.500  0.500  0.000
Sb  0.123  0.877  0.623
P  0.000  0.500  0.500
Sb  0.123  0.623  0.123
P  0.500  0.000  0.500

(2)
# SbP

SbP after structural relaxation (PBE, Alexandria via LeMat-Bulk).

Output
DOS at the Fermi energy (states/eV per atom): 0.002
Raw total energy (eV/atom): -4.51
Uncorrected formation energy (eV/f.u.): 0.522

a = 8.552 Å, b = 8.552 Å, c = 5.707 Å
α = 90.00°, β = 90.00°, γ = 120.00°
Fractional coordinates of all 12 atoms:
Sb  0.669  0.642  0.250
P  0.372  0.335  0.250
P  0.665  0.038  0.250
Sb  0.642  0.973  0.750
P  0.962  0.628  0.250
Sb  0.358  0.027  0.250
Sb  0.331  0.358  0.750
Sb  0.027  0.669  0.750
Sb  0.973  0.331  0.250
P  0.628  0.665  0.750
P  0.335  0.962  0.750
P  0.038  0.372  0.750

(3)
# SbP2

SbP2 after structural relaxation (PBE, Alexandria via LeMat-Bulk).

Output
DOS at the Fermi energy (states/eV per atom): 0.148
Raw total energy (eV/atom): -4.92
Uncorrected formation energy (eV/f.u.): 0.168

a = 6.223 Å, b = 6.223 Å, c = 12.186 Å
α = 43.43°, β = 43.43°, γ = 30.19°
Fractional coordinates of all 6 atoms:
P  0.496  0.496  0.628
P  0.158  0.158  0.443
P  0.559  0.559  0.761
Sb  0.627  0.627  0.022
P  0.898  0.898  0.946
Sb  0.428  0.428  0.367